TbCrSeO2: relaxed, PBE+U.

abc: 5.2926 11.8411 5.2595
angles: 90.00 90.00 90.00
Last column: nearest neighbours and their distance in Å.
Space group Cmcm (No. 63)
One atom of each set of equivalent atoms:
Tb (0.0000, 0.1103, 0.2500) (multiplicity 4)  4 O 2.30
Cr (0.0000, 0.4381, 0.2500) (multiplicity 4)  4 O 1.98
Se (0.0000, 0.2575, 0.7500) (multiplicity 4)  4 Tb 3.07-3.15, 2 Cr 3.39, 4 O 3.41
O (0.2438, 0.5000, 0.0000) (multiplicity 8)  2 Cr 1.98

Total magnetic moment ... 3.00 μB per formula unit
Fermi-level density of states ... 0.2880 states/eV/atom
E_tot ... -7.12 eV/atom